Entry 1:
Density functional theory data (PBE) for a relaxed MgZrTi2H crystal. Values from VASP.

Geometry as Quantum ESPRESSO input:
```
&SYSTEM
  ibrav = 0, nat = 5, ntyp = 4
/
ATOMIC_SPECIES
H 1.01 H.upf
Ti 47.87 Ti.upf
Zr 91.22 Zr.upf
Mg 24.30 Mg.upf
ATOMIC_POSITIONS crystal
H 0.000 0.000 0.000
Ti 0.000 0.500 0.000
Zr 0.000 0.000 0.500
Ti 0.500 0.000 0.000
Mg 0.500 0.500 0.500
CELL_PARAMETERS angstrom
-1.247 -2.218 -3.407
-1.258 -3.178 2.529
-3.955 1.790 0.282
```

Values from the calculation:
As for the electronic total energy: -5.9372 eV per atom. The magnetic moment comes out at 0.000 μB/atom.

***

Entry 2:
Density functional theory data (PBE) for a relaxed MgZr2TiH crystal. Values from VASP.

Geometry as Quantum ESPRESSO input:
```
&SYSTEM
  ibrav = 0, nat = 5, ntyp = 4
/
ATOMIC_SPECIES
Zr 91.22 Zr.upf
Mg 24.30 Mg.upf
H 1.01 H.upf
Ti 47.87 Ti.upf
ATOMIC_POSITIONS crystal
Zr 0.500 0.000 0.000
Mg 0.000 0.000 0.500
H 0.000 0.000 0.000
Ti 0.500 0.500 0.500
Zr 0.000 0.500 0.000
CELL_PARAMETERS angstrom
-1.185 -0.926 4.142
-2.465 -3.351 -1.454
3.424 -2.684 0.380
```

Values from the calculation:
As for the electronic total energy: -6.0487 eV per atom. The magnetic moment comes out at 0.000 μB/atom.

***

Entry 3:
Density functional theory data (PBE) for a relaxed Mg2TlH crystal. Values from VASP.

Geometry as Quantum ESPRESSO input:
```
&SYSTEM
  ibrav = 0, nat = 4, ntyp = 3
/
ATOMIC_SPECIES
Mg 24.30 Mg.upf
Tl 204.38 Tl.upf
H 1.01 H.upf
ATOMIC_POSITIONS crystal
Mg 0.080 0.080 0.760
Tl 0.500 0.500 0.500
Mg 0.920 0.920 0.240
H 0.000 0.000 0.000
CELL_PARAMETERS angstrom
-3.035 -1.223 1.828
-0.460 -3.667 0.626
2.594 -0.960 7.506
```

Values from the calculation:
As for the electronic total energy: -2.1161 eV per atom. The magnetic moment comes out at 0.000 μB/atom.

***

Entry 4:
Density functional theory data (PBE) for a relaxed MgTl3H crystal. Values from VASP.

Geometry as Quantum ESPRESSO input:
```
&SYSTEM
  ibrav = 0, nat = 5, ntyp = 3
/
ATOMIC_SPECIES
Tl 204.38 Tl.upf
Mg 24.30 Mg.upf
H 1.01 H.upf
ATOMIC_POSITIONS crystal
Tl 0.000 0.000 0.500
Tl 0.000 0.500 0.000
Mg 0.500 0.500 0.500
H 0.000 0.000 0.000
Tl 0.500 0.000 0.000
CELL_PARAMETERS angstrom
4.939 0.000 0.000
0.000 4.939 0.000
0.000 0.000 4.939
```

Values from the calculation:
As for the electronic total energy: -2.1708 eV per atom. The magnetic moment comes out at 0.000 μB/atom.